# 1
PuSc2S4 after structural relaxation, computed with PBE.

## Properties
Its space group is No. 63. The calculation puts the size of the total moment at 5.6 μB/f.u. The value obtained for the density of states at the Fermi level is 28.1 states/eV/cell.

```
PuSc2S4
1.0
-3.582 -0.582 -0.898
3.490 -4.031 -3.527
-0.865 -8.697 9.084
Pu S Sc
2 8 4
Cartesian
1.086 -5.488 -0.778
-2.044 -7.821 5.437
-1.204 -5.951 0.875
0.246 -7.358 3.784
0.017 -9.659 6.188
-0.915 -10.694 2.794
-2.224 -4.639 4.093
-1.791 -0.291 -0.449
-0.043 -2.616 1.865
-0.975 -3.650 -1.528
-1.351 -11.600 5.123
0.073 -4.928 2.899
-1.031 -8.381 1.760
0.394 -1.709 -0.463
```

---

# 2
RbCa2YPt after structural relaxation, computed with PBE.

## Properties
Its space group is No. 123. The calculation puts the size of the total moment at 0.0 μB/f.u. The calculation puts the relative energy among the computed polymorphs at 0.0 kJ/mol of formula units. The value obtained for the calculated formation energy is -0.323 eV per atom. The value obtained for the density of states at the Fermi level is 4.2 states/eV/cell.

```
RbCa2YPt
1.0
-4.987 -3.053 -0.515
2.758 -3.936 -3.371
1.324 -2.921 4.494
Ca Pt Y Rb
2 1 1 1
Cartesian
1.379 -1.968 -1.686
-2.494 -1.527 -0.257
0.000 0.000 0.000
0.662 -1.460 2.247
-0.453 -4.955 0.304
```

---

Taking the records one at a time from the top gives calculated total energy values of -113.1, -19.1 eV/cell.
Taking the records one at a time from the top gives calculated volume values of 288.1, 190.3 Å³/cell.